(1)
## Zr2FeGe (PBE)

Data for a relaxed structure of Zr2FeGe.

The space group is F-43m (No. 216) and the conventional cell measures 6.4677, 6.4677 and 6.4677 Å, with angles of 90.00, 90.00 and 90.00 degrees. Symmetry generates all atoms from Zr at (0.0000, 0.0000, 0.0000), Zr at (0.2500, 0.2500, 0.2500), Fe at (0.2500, 0.2500, 0.7500) and Ge at (0.0000, 0.0000, 0.5000).

The value obtained for the total energy is -7.46 eV per atom.


(2)
## Fe2H (PBE)

Data for a relaxed structure of Fe2H.

The space group is P4_2/mnm (No. 136) and the conventional cell measures 4.2728, 4.2728 and 2.7505 Å, with angles of 90.00, 90.00 and 90.00 degrees. Symmetry generates all atoms from Fe at (0.2172, 0.2172, 0.0000) and H at (0.0000, 0.0000, 0.5000).

The value obtained for the total energy is -6.61 eV per atom.


(3)
## FeH3 (PBE)

Data for a relaxed structure of FeH3.

The space group is P6_3/mmc (No. 194) and the conventional cell measures 4.0318, 4.0318 and 2.6578 Å, with angles of 90.00, 90.00 and 120.00 degrees. Symmetry generates all atoms from Fe at (0.3333, 0.6667, 0.2500) and H at (0.1754, 0.3507, 0.7500).

The value obtained for the total energy is -4.36 eV per atom.